(1)
VASP calculation (PBE-GGA) on a relaxed AcNd2Ga6 crystal.

Lattice parameters (Å, degrees): 4.5452 7.9577 7.9577 56.14 73.41 73.41
Closest atoms and distances in Å follow each position.
Atoms (fractional coordinates):
Ga: 0.3190 0.9830 0.3790  1 Ga 2.59
Ga: 0.5000 0.3264 0.6736  3 Ga 2.59-2.60
Ga: 0.3190 0.3790 0.9830  1 Ga 2.59
Ga: 0.6810 0.0170 0.6210  1 Ga 2.59
Ga: 0.5000 0.6736 0.3264  3 Ga 2.59-2.60
Ga: 0.6810 0.6210 0.0170  1 Ga 2.59
Nd: 0.8701 0.6299 0.6299  6 Ga 2.92-3.14
Nd: 0.1299 0.3701 0.3701  6 Ga 2.92-3.14
Ac: 0.0000 0.0000 0.0000  12 Ga 3.34-3.63

## Properties
energy relative to the elements: -0.467 eV/atom
total energy: -4.001 eV/atom

***

(2)
VASP calculation (PBE-GGA) on a relaxed TeOsSe2 crystal.

Lattice parameters (Å, degrees): 6.3454 6.3454 6.3454 151.27 133.18 55.86
Closest atoms and distances in Å follow each position.
Atoms (fractional coordinates):
Os: 0.2500 0.7500 0.5000  4 Se 2.52
Se: 0.4252 0.4252 0.0000  2 Os 2.52
Se: 0.0748 0.0748 0.0000  2 Os 2.52
Te: 0.7500 0.2500 0.5000  4 Os 2.97, 2 Te 3.15, 4 Se 3.20

## Properties
formation energy (no corrections): 0.37 eV per atom
total energy: -4.962 eV/atom

***

(3)
VASP calculation (PBE-GGA) on a relaxed KC2 crystal.

Lattice parameters (Å, degrees): 4.8455 4.8455 4.8455 126.02 125.99 79.88
Closest atoms and distances in Å follow each position.
Atoms (fractional coordinates):
C: 0.4149 0.4149 0.0000  1 C 1.27
C: 0.5851 0.5851 0.0000  1 C 1.27
K: 0.0000 0.0000 0.0000  10 C 3.08-3.17

## Properties
energy relative to the elements: 1.273 eV/atom
total energy: -5.242 eV/atom

***

(4)
VASP calculation (PBE-GGA) on a relaxed LiRuI3 crystal.

Lattice parameters (Å, degrees): 5.4188 5.4188 5.4188 90.00 90.00 90.00
Closest atoms and distances in Å follow each position.
Atoms (fractional coordinates):
Li: 0.0000 0.0000 0.0000  6 I 2.71
I: 0.0000 0.5000 0.0000  2 Li 2.71
I: 0.0000 0.0000 0.5000  2 Li 2.71
I: 0.5000 0.0000 0.0000  2 Li 2.71
Ru: 0.5000 0.5000 0.5000  12 I 3.83

## Properties
formation energy (no corrections): 0.60 eV per atom
total energy: -2.569 eV/atom

***

(5)
VASP calculation (PBE-GGA) on a relaxed Er2Zn3Au crystal.

Lattice parameters (Å, degrees): 3.4879 4.4439 7.8207 90.00 90.00 90.00
Closest atoms and distances in Å follow each position.
Atoms (fractional coordinates):
Zn: 0.5000 0.5000 0.6762  2 Zn 2.53, 1 Au 2.65
Zn: 0.5000 0.0000 0.8311  3 Zn 2.53
Zn: 0.5000 0.0000 0.1551  1 Zn 2.53, 2 Au 2.64
Au: 0.5000 0.5000 0.3368  3 Zn 2.64-2.65
Er: 0.0000 0.5000 0.0048  10 Zn 3.06-3.13, 2 Au 3.13
Er: 0.0000 0.0000 0.4961  4 Au 3.09, 8 Zn 3.15-3.19

## Properties
energy relative to the elements: -0.522 eV/atom
total energy: -3.226 eV/atom

***

(6)
VASP calculation (PBE-GGA) on a relaxed Na2TeIrO6 crystal.

Lattice parameters (Å, degrees): 3.9113 5.6505 5.6505 90.00 90.00 90.00
Closest atoms and distances in Å follow each position.
Atoms (fractional coordinates):
O: 0.6453 0.2480 0.7520  1 Te 1.98, 1 Ir 2.01
O: 0.6453 0.2480 0.2480  1 Te 1.98, 1 Ir 2.01
O: 0.1448 0.5000 0.5000  2 Ir 1.96
O: 0.1447 0.0000 0.0000  2 Te 1.96
O: 0.6453 0.7520 0.7520  1 Te 1.98, 1 Ir 2.01
O: 0.6453 0.7520 0.2480  1 Te 1.98, 1 Ir 2.01
Te: 0.6446 0.0000 0.0000  6 O 1.96-1.98
Na: 0.1436 0.5000 0.0000  12 O 2.79-2.83
Na: 0.1436 0.0000 0.5000  12 O 2.79-2.83
Ir: 0.6447 0.5000 0.5000  6 O 1.96-2.01

## Properties
formation energy (no corrections): -0.99 eV per atom
total energy: -5.433 eV/atom

***

(7)
VASP calculation (PBE-GGA) on a relaxed BaGe2PdRh crystal.

Lattice parameters (Å, degrees): 4.3231 4.3231 6.6737 108.90 108.90 90.00
Closest atoms and distances in Å follow each position.
Atoms (fractional coordinates):
Ge: 0.3553 0.3553 0.7106  2 Rh 2.50, 2 Pd 2.50
Ge: 0.6447 0.6447 0.2894  2 Rh 2.50, 2 Pd 2.50
Ba: 0.0000 0.0000 0.0000  8 Ge 3.51, 4 Rh 3.67, 4 Pd 3.67
Rh: 0.7500 0.2500 0.5000  4 Ge 2.50
Pd: 0.2500 0.7500 0.5000  4 Ge 2.50

## Properties
energy relative to the elements: -0.663 eV/atom
total energy: -5.403 eV/atom

***

(8)
VASP calculation (PBE-GGA) on a relaxed Mg3Sb crystal.

Lattice parameters (Å, degrees): 10.1848 10.1848 10.1848 155.23 155.23 35.31
Closest atoms and distances in Å follow each position.
Atoms (fractional coordinates):
Mg: 0.0000 0.5000 0.5000  8 Mg 3.09-3.28, 4 Sb 3.13
Mg: 0.1259 0.1259 0.0000  4 Sb 3.10, 8 Mg 3.25-3.28
Mg: 0.5000 0.0000 0.5000  8 Mg 3.09-3.28, 4 Sb 3.13
Mg: 0.2500 0.7500 0.5000  8 Mg 3.09-3.25, 4 Sb 3.40
Mg: 0.7500 0.2500 0.5000  8 Mg 3.09-3.25, 4 Sb 3.40
Mg: 0.8741 0.8741 0.0000  4 Sb 3.10, 8 Mg 3.25-3.28
Sb: 0.3844 0.3844 0.0000  12 Mg 3.10-3.40
Sb: 0.6156 0.6156 0.0000  12 Mg 3.10-3.40

## Properties
formation energy (no corrections): -0.16 eV per atom
total energy: -2.387 eV/atom

***

(9)
VASP calculation (PBE-GGA) on a relaxed NdY2Er crystal.

Lattice parameters (Å, degrees): 3.6625 6.7790 6.7772 114.92 105.68 105.68
Closest atoms and distances in Å follow each position.
Atoms (fractional coordinates):
Y: 0.6678 0.6787 0.5431  3 Nd 3.54-3.57, 5 Y 3.55-3.66, 4 Er 3.64-3.66
Y: 0.3338 0.0935 0.4564  3 Er 3.53-3.57, 5 Y 3.55-3.66, 4 Nd 3.63-3.66
Er: 0.6666 0.1754 0.0428  7 Y 3.53-3.66, 3 Nd 3.54-3.57, 2 Er 3.66
Nd: 0.3318 0.5884 0.9577  3 Er 3.54-3.57, 7 Y 3.54-3.66, 2 Nd 3.66

## Properties
energy relative to the elements: 0.013 eV/atom
total energy: -5.552 eV/atom

***

(10)
VASP calculation (PBE-GGA) on a relaxed LaGa2Ru2 crystal.

Lattice parameters (Å, degrees): 7.4633 7.4633 3.1224 90.00 90.00 90.00
Closest atoms and distances in Å follow each position.
Atoms (fractional coordinates):
Ru: 0.6523 0.1523 0.0000  6 Ga 2.67-2.71, 2 La 2.83
Ru: 0.3477 0.8477 0.0000  6 Ga 2.67-2.71, 2 La 2.83
Ru: 0.8477 0.6523 0.0000  6 Ga 2.67-2.71, 2 La 2.83
Ru: 0.1523 0.3477 0.0000  6 Ga 2.67-2.71, 2 La 2.83
Ga: 0.1380 0.6380 0.5000  6 Ru 2.67-2.71, 1 Ga 2.91
Ga: 0.6380 0.8620 0.5000  6 Ru 2.67-2.71, 1 Ga 2.91
Ga: 0.3620 0.1380 0.5000  6 Ru 2.67-2.71, 1 Ga 2.91
Ga: 0.8620 0.3620 0.5000  6 Ru 2.67-2.71, 1 Ga 2.91
La: 0.0000 0.0000 0.0000  4 Ru 2.83, 2 La 3.12
La: 0.5000 0.5000 0.0000  4 Ru 2.83, 2 La 3.12

## Properties
energy relative to the elements: -0.351 eV/atom
total energy: -6.258 eV/atom

***

(11)
VASP calculation (PBE-GGA) on a relaxed Hg2RhW crystal.

Lattice parameters (Å, degrees): 4.9502 4.9502 4.9502 129.19 129.19 74.70
Closest atoms and distances in Å follow each position.
Atoms (fractional coordinates):
Hg: 0.0000 0.0000 0.0000  4 Hg 2.90, 4 W 2.90, 4 Rh 3.00
Hg: 0.2500 0.7500 0.5000  4 Rh 2.90, 4 Hg 2.90, 4 W 3.00
W: 0.7500 0.2500 0.5000  8 Hg 2.90-3.00, 4 Rh 2.90
Rh: 0.5000 0.5000 0.0000  8 Hg 2.90-3.00, 4 W 2.90

## Properties
energy relative to the elements: 0.687 eV/atom
total energy: -4.540 eV/atom

***

(12)
VASP calculation (PBE-GGA) on a relaxed LiCd2Pd4 crystal.

Lattice parameters (Å, degrees): 7.2163 7.1046 7.1691 133.42 103.11 95.28
Closest atoms and distances in Å follow each position.
Atoms (fractional coordinates):
Pd: 0.7565 0.0175 0.7430  1 Li 2.60, 3 Pd 2.72-2.87, 2 Cd 2.77-2.79
Pd: 0.3472 0.6153 0.2686  2 Li 2.50-2.64, 1 Pd 2.64, 3 Cd 2.69-2.72
Pd: 0.4931 0.7329 0.7577  1 Li 2.60, 3 Pd 2.72-2.87, 2 Cd 2.77-2.79
Pd: 0.2750 0.0164 0.2594  1 Li 2.61, 3 Pd 2.73-2.89, 2 Cd 2.78-2.80
Pd: 0.9036 0.6678 0.7644  2 Li 2.52-2.61, 1 Pd 2.64, 3 Cd 2.69-2.70
Pd: 0.9750 0.7328 0.2398  1 Li 2.60, 3 Pd 2.73-2.89, 2 Cd 2.78-2.80
Pd: 0.9030 0.1347 0.2316  2 Li 2.50-2.64, 1 Pd 2.64, 3 Cd 2.69-2.72
Pd: 0.3463 0.0823 0.7354  2 Li 2.52-2.61, 1 Pd 2.64, 3 Cd 2.69-2.70
Cd: 0.6253 0.8751 0.2503  6 Pd 2.69-2.80, 2 Cd 2.82
Cd: 0.1251 0.3752 0.7501  4 Pd 2.70-2.72
Cd: 0.6250 0.3749 0.2499  4 Pd 2.70-2.72
Cd: 0.6249 0.3750 0.7499  6 Pd 2.69-2.78, 2 Cd 2.82
Li: 0.1133 0.6119 0.5018  6 Pd 2.50-2.64
Li: 0.1369 0.1382 0.9982  6 Pd 2.50-2.64

## Properties
energy relative to the elements: -0.194 eV/atom
total energy: -3.696 eV/atom

***

(13)
VASP calculation (PBE-GGA) on a relaxed Hf2H2Br7 crystal.

Lattice parameters (Å, degrees): 7.3695 7.0827 7.0827 66.72 92.29 92.29
Closest atoms and distances in Å follow each position.
Atoms (fractional coordinates):
Br: 0.7710 0.5157 0.0824  2 Hf 2.68-2.70
Br: 0.0000 0.0000 0.0000  2 Hf 2.85
Br: 0.2062 0.4263 0.4263  1 Hf 2.47
Br: 0.7938 0.5737 0.5737  1 Hf 2.47
Br: 0.2290 0.4843 0.9176  2 Hf 2.68-2.70
Br: 0.7710 0.0824 0.5157  2 Hf 2.68-2.70
Br: 0.2290 0.9176 0.4843  2 Hf 2.68-2.70
Hf: 0.0368 0.2409 0.2409  5 Br 2.47-2.70
Hf: 0.9632 0.7591 0.7591  5 Br 2.47-2.70
H: 0.5000 0.0482 0.9518  1 H 0.75
H: 0.5000 0.9518 0.0482  1 H 0.75

## Properties
total energy: -4.477 eV/atom

***

(14)
VASP calculation (PBE-GGA) on a relaxed Ac6Pd2CI3 crystal.

Lattice parameters (Å, degrees): 7.5313 7.5313 8.8638 98.11 98.11 120.02
Closest atoms and distances in Å follow each position.
Atoms (fractional coordinates):
Pd: 0.6659 0.3341 0.0000  6 Ac 3.06-3.07
Pd: 0.3341 0.6659 0.0000  6 Ac 3.06-3.07
Ac: 0.7586 0.7586 0.1866  1 C 2.78, 2 Pd 3.07
Ac: 0.3664 0.0618 0.1848  1 C 2.78, 2 Pd 3.06-3.07
Ac: 0.6336 0.9382 0.8152  1 C 2.78, 2 Pd 3.06-3.07
Ac: 0.9382 0.6336 0.8152  1 C 2.78, 2 Pd 3.06-3.07
Ac: 0.2414 0.2414 0.8134  1 C 2.78, 2 Pd 3.07
Ac: 0.0618 0.3664 0.1848  1 C 2.78, 2 Pd 3.06-3.07
I: 0.1708 0.8292 0.5000  6 Ac 3.61-3.79
I: 0.8292 0.1708 0.5000  6 Ac 3.61-3.79
I: 0.5000 0.5000 0.5000  6 Ac 3.60-3.82
C: 0.0000 0.0000 0.0000  6 Ac 2.78

## Properties
formation energy (no corrections): -0.79 eV per atom
total energy: -4.869 eV/atom

***

(15)
VASP calculation (PBE-GGA) on a relaxed SmThNiPd crystal.

Lattice parameters (Å, degrees): 3.7898 4.3101 5.9459 90.00 108.58 90.00
Closest atoms and distances in Å follow each position.
Atoms (fractional coordinates):
Pd: 0.5813 0.5000 0.1627  2 Ni 2.93, 4 Sm 2.95, 3 Th 3.05-3.25
Sm: 0.1434 0.0000 0.2867  4 Pd 2.95, 3 Ni 2.95-3.28
Ni: 0.4054 0.0000 0.8109  4 Th 2.90, 2 Pd 2.93, 1 Sm 2.95
Th: 0.8699 0.5000 0.7397  4 Ni 2.90, 2 Pd 3.05

## Properties
energy relative to the elements: -0.601 eV/atom
total energy: -6.379 eV/atom

***

(16)
VASP calculation (PBE-GGA) on a relaxed Tm8Ga3CuSe4 crystal.

Lattice parameters (Å, degrees): 7.7898 8.4802 7.7885 117.33 120.01 90.00
Closest atoms and distances in Å follow each position.
Atoms (fractional coordinates):
Se: 0.5000 0.0000 0.0000  6 Tm 2.90
Se: 0.0000 0.0000 0.0000  6 Tm 2.86-2.87
Se: 0.5000 0.0000 0.5000  6 Tm 2.86-2.87
Se: 0.0000 0.0000 0.5000  6 Tm 2.86-2.87
Tm: 0.2457 0.2500 0.9978  1 Cu 2.86, 3 Se 2.87-2.90, 2 Ga 2.89
Tm: 0.2479 0.7500 0.0022  1 Cu 2.86, 3 Se 2.87-2.90, 2 Ga 2.89
Tm: 0.7521 0.2501 0.5043  1 Cu 2.86, 3 Se 2.87-2.90, 2 Ga 2.89
Tm: 0.2479 0.7499 0.4957  1 Cu 2.86, 3 Se 2.87-2.90, 2 Ga 2.89
Tm: 0.7543 0.7500 0.0022  1 Cu 2.86, 3 Se 2.87-2.90, 2 Ga 2.89
Tm: 0.2488 0.2465 0.4977  3 Se 2.86, 3 Ga 2.89
Tm: 0.7521 0.2500 0.9978  1 Cu 2.86, 3 Se 2.87-2.90, 2 Ga 2.89
Tm: 0.7512 0.7535 0.5023  3 Se 2.86, 3 Ga 2.89
Ga: 0.5000 0.5000 0.0000  6 Tm 2.89
Ga: 0.0000 0.5000 0.5000  6 Tm 2.89
Ga: 0.5000 0.5000 0.5000  6 Tm 2.89
Cu: 0.0000 0.5000 0.0000  6 Tm 2.86

## Properties
formation energy (no corrections): -1.07 eV per atom
total energy: -5.002 eV/atom

***

(17)
VASP calculation (PBE-GGA) on a relaxed DyZn11Si crystal.

Lattice parameters (Å, degrees): 5.2229 6.7790 6.8401 81.37 67.56 66.84
Closest atoms and distances in Å follow each position.
Atoms (fractional coordinates):
Zn: 0.6462 0.3544 0.3556  7 Zn 2.57-2.86, 1 Si 2.75
Zn: 0.0000 0.5000 0.0000  8 Zn 2.58-2.75, 2 Si 2.61
Zn: 0.2810 0.2138 0.2153  8 Zn 2.58-2.86, 1 Si 2.62
Zn: 0.5037 0.7862 0.2153  8 Zn 2.58-2.86, 1 Si 2.62
Zn: 0.5000 0.0000 0.5000  10 Zn 2.59-2.74
Zn: 0.0018 0.3544 0.6444  7 Zn 2.57-2.86, 1 Si 2.75
Zn: 0.9982 0.6456 0.3556  7 Zn 2.57-2.86, 1 Si 2.75
Zn: 0.3538 0.6456 0.6444  7 Zn 2.57-2.86, 1 Si 2.75
Zn: 0.0000 0.0000 0.5000  10 Zn 2.59-2.74
Zn: 0.7190 0.7862 0.7847  8 Zn 2.58-2.86, 1 Si 2.62
Zn: 0.4963 0.2138 0.7847  8 Zn 2.58-2.86, 1 Si 2.62
Si: 0.5000 0.5000 0.0000  10 Zn 2.61-2.75
Dy: 0.0000 0.0000 0.0000  18 Zn 3.15-3.42, 2 Si 3.37

## Properties
formation energy (no corrections): -0.11 eV per atom
total energy: -1.959 eV/atom

***

(18)
VASP calculation (PBE-GGA) on a relaxed NiAsRu crystal.

Lattice parameters (Å, degrees): 3.9654 3.9654 3.9654 60.00 60.00 60.00
Closest atoms and distances in Å follow each position.
Atoms (fractional coordinates):
As: 0.7500 0.7500 0.7500  4 Ru 2.43, 4 Ni 2.43
Ru: 0.5000 0.5000 0.5000  4 As 2.43
Ni: 0.0000 0.0000 0.0000  4 As 2.43

## Properties
energy relative to the elements: -0.160 eV/atom
total energy: -6.729 eV/atom

***

(19)
VASP calculation (PBE-GGA) on a relaxed Sm2PuHg crystal.

Lattice parameters (Å, degrees): 3.5953 3.5953 8.9291 90.00 90.00 90.00
Closest atoms and distances in Å follow each position.
Atoms (fractional coordinates):
Hg: 0.5000 0.5000 0.0000  8 Sm 3.28, 4 Hg 3.60
Sm: 0.0000 0.0000 0.7687  4 Hg 3.28, 4 Pu 3.50, 4 Sm 3.60
Sm: 0.0000 0.0000 0.2313  4 Hg 3.28, 4 Pu 3.50, 4 Sm 3.60
Pu: 0.5000 0.5000 0.5000  8 Sm 3.50, 4 Pu 3.60

## Properties
energy relative to the elements: -0.124 eV/atom
total energy: -6.142 eV/atom

***

(20)
VASP calculation (PBE-GGA) on a relaxed CdTc2Ag crystal.

Lattice parameters (Å, degrees): 2.9623 2.9623 7.8243 90.00 90.00 90.00
Closest atoms and distances in Å follow each position.
Atoms (fractional coordinates):
Tc: 0.5000 0.5000 0.2161  4 Tc 2.53
Tc: 0.0000 0.0000 0.0351  4 Tc 2.53
Cd: 0.5000 0.5000 0.7615  4 Cd 2.96, 4 Tc 2.99, 4 Ag 3.00
Ag: 0.0000 0.0000 0.4874  4 Ag 2.96, 4 Tc 2.98, 4 Cd 3.00

## Properties
energy relative to the elements: 0.182 eV/atom
total energy: -5.942 eV/atom